Model i:
Below is BeCo3As after structural relaxation, with properties calculated at the GGA-PBE level.

Calculated volume (Å³/cell): 58.52
M_tot (μB per atom): 0.552

The structure in extended XYZ format:
```
5
Lattice="3.882 0.000 0.000 0.000 3.882 0.000 0.000 0.000 3.882" Properties=species:S:1:pos:R:3 pbc="T T T"
Be 0.000 0.000 0.000
Co 0.000 0.000 1.941
Co 0.000 1.941 0.000
Co 1.941 0.000 0.000
As 1.941 1.941 1.941
```

Model ii:
Below is BeCo3As after structural relaxation, with properties calculated at the GGA-PBE level.

Calculated volume (Å³/cell): 76.69
M_tot (μB per atom): 0.495

The structure in extended XYZ format:
```
5
Lattice="4.249 0.000 0.000 0.000 4.249 0.000 0.000 0.000 4.249" Properties=species:S:1:pos:R:3 pbc="T T T"
Be 0.000 0.000 0.000
Co 0.000 2.124 2.124
Co 2.124 0.000 2.124
Co 2.124 2.124 0.000
As 2.124 2.124 2.124
```

Of them, model ii has the lowest stability.

Model i:
Below is BeCoAsSe2 after structural relaxation, with properties calculated at the GGA-PBE level.

Calculated volume (Å³/cell): 92.41
M_tot (μB per atom): 0.386

The structure in extended XYZ format:
```
5
Lattice="4.680 0.000 0.000 0.000 4.680 0.000 0.000 0.000 4.219" Properties=species:S:1:pos:R:3 pbc="T T T"
Be 0.000 0.000 0.000
Co 2.340 2.340 2.109
As 0.000 0.000 2.109
Se 0.000 2.340 0.000
Se 2.340 0.000 0.000
```

Model ii:
Below is BeCoAsSe2 after structural relaxation, with properties calculated at the GGA-PBE level.

Calculated volume (Å³/cell): 100.27
M_tot (μB per atom): 0.000

The structure in extended XYZ format:
```
5
Lattice="4.845 0.000 0.000 0.000 4.845 0.000 0.000 0.000 4.272" Properties=species:S:1:pos:R:3 pbc="T T T"
Be 0.000 0.000 0.000
Co 2.422 2.422 2.136
As 2.422 2.422 0.000
Se 0.000 2.422 2.136
Se 2.422 0.000 2.136
```

Of them, model i has the lowest stability.

Model i:
Below is BeCr3As after structural relaxation, with properties calculated at the GGA-PBE level.

Calculated volume (Å³/cell): 92.09
M_tot (μB per atom): 1.763

The structure in extended XYZ format:
```
5
Lattice="4.516 0.000 0.000 0.000 4.516 0.000 0.000 0.000 4.516" Properties=species:S:1:pos:R:3 pbc="T T T"
Be 0.000 0.000 0.000
Cr 0.000 2.258 2.258
Cr 2.258 0.000 2.258
Cr 2.258 2.258 0.000
As 2.258 2.258 2.258
```

Model ii:
Below is BeCr3As after structural relaxation, with properties calculated at the GGA-PBE level.

Calculated volume (Å³/cell): 62.13
M_tot (μB per atom): 0.000

The structure in extended XYZ format:
```
5
Lattice="3.961 0.000 0.000 0.000 3.961 0.000 0.000 0.000 3.961" Properties=species:S:1:pos:R:3 pbc="T T T"
Be 0.000 0.000 0.000
Cr 0.000 0.000 1.980
Cr 0.000 1.980 0.000
Cr 1.980 0.000 0.000
As 1.980 1.980 1.980
```

Of them, model i has the lowest stability.

Model i:
Below is BeCrAs2Se after structural relaxation, with properties calculated at the GGA-PBE level.

Calculated volume (Å³/cell): 101.30
M_tot (μB per atom): 0.000

The structure in extended XYZ format:
```
5
Lattice="4.639 0.000 0.000 0.000 4.639 0.000 0.000 0.000 4.706" Properties=species:S:1:pos:R:3 pbc="T T T"
Be 0.000 0.000 0.000
Cr 2.320 2.320 2.353
As 0.000 2.320 2.353
As 2.320 0.000 2.353
Se 2.320 2.320 0.000
```

Model ii:
Below is BeCrAs2Se after structural relaxation, with properties calculated at the GGA-PBE level.

Calculated volume (Å³/cell): 88.77
M_tot (μB per atom): 0.035

The structure in extended XYZ format:
```
5
Lattice="4.322 0.000 0.000 0.000 4.322 0.000 0.000 0.000 4.752" Properties=species:S:1:pos:R:3 pbc="T T T"
Be 0.000 0.000 0.000
Cr 2.161 2.161 2.376
As 0.000 2.161 0.000
As 2.161 0.000 0.000
Se 0.000 0.000 2.376
```

Of them, model ii has the lowest stability.